<one>
AgBI2 | GGA-PBE | optimized geometry

Cell: 6.2487 6.2487 8.2319 Å, 67.69 67.69 90.00°
Fractional coordinates of all 8 atoms:
1 I 0.6044 0.1250 0.2500
2 I 0.1456 0.6250 0.2500
3 I 0.3750 0.3956 0.7500
4 I 0.8750 0.8544 0.7500
5 B 0.5000 0.5000 0.0000
6 B 0.2500 0.7500 0.5000
7 Ag 0.0000 0.0000 0.0000
8 Ag 0.7500 0.2500 0.5000

## Properties
* theoretical density: 4.6 g/cm3
* space group: I-42d, No. 122
* total magnetization: 0.00 μB per formula unit

***

<two>
AgBI2 | GGA-PBE | optimized geometry

Cell: 5.2769 5.2769 5.2769 Å, 60.00 60.00 60.00°
Fractional coordinates of all 4 atoms:
1 I 0.2500 0.2500 0.2500
2 I 0.7500 0.7500 0.7500
3 B 0.0000 0.0000 0.0000
4 Ag 0.5000 0.5000 0.5000

## Properties
* theoretical density: 6.0 g/cm3
* space group: Fm-3m, No. 225
* total magnetization: 0.00 μB per formula unit

***

Most stable structure, least stable structure: <one>, <two>.

***

<one>
AgB2I8 | GGA-PBE | optimized geometry

Cell: 7.0413 8.2191 8.2191 Å, 80.57 89.81 89.81°
Fractional coordinates of all 11 atoms:
1 Ag 0.0000 0.0000 0.0000
2 B 0.6761 0.7791 0.7791
3 B 0.3239 0.2209 0.2209
4 I 0.2150 0.2926 0.9551
5 I 0.7850 0.0449 0.7074
6 I 0.3599 0.7761 0.7761
7 I 0.6401 0.2239 0.2239
8 I 0.2150 0.9551 0.2926
9 I 0.7850 0.7074 0.0449
10 I 0.7976 0.6161 0.6161
11 I 0.2024 0.3839 0.3839

## Properties
* theoretical density: 4.1 g/cm3
* space group: C2/m, No. 12
* total magnetization: 0.00 μB per formula unit

***

<two>
AgB2I8 | GGA-PBE | optimized geometry

Cell: 10.0059 11.0791 11.2258 Å, 70.01 63.53 63.16°
Fractional coordinates of all 22 atoms:
1 Ag 0.9745 0.7500 0.2500
2 Ag 0.0255 0.2500 0.7500
3 B 0.8510 0.8722 0.9503
4 B 0.3266 0.3722 0.4503
5 B 0.6734 0.6278 0.5497
6 B 0.1490 0.1278 0.0497
7 I 0.4158 0.7468 0.5826
8 I 0.1108 0.9628 0.2340
9 I 0.6986 0.9610 0.1406
10 I 0.2031 0.2286 0.4764
11 I 0.3014 0.0390 0.8594
12 I 0.9081 0.2714 0.0236
13 I 0.7969 0.7714 0.5236
14 I 0.1998 0.4610 0.6406
15 I 0.0919 0.7286 0.9764
16 I 0.7451 0.7532 0.9174
17 I 0.6925 0.4628 0.7340
18 I 0.3075 0.5372 0.2660
19 I 0.2549 0.2468 0.0826
20 I 0.8002 0.5390 0.3594
21 I 0.5843 0.2532 0.4174
22 I 0.8892 0.0372 0.7660

## Properties
* theoretical density: 3.9 g/cm3
* space group: C2/c, No. 15
* total magnetization: 0.00 μB per formula unit

***

Most stable structure, least stable structure: <one>, <two>.